Entry 1:
The following is a DFT calculation (PBE) of crystalline AlTcPt2 at its relaxed geometry.

## Properties
Energy relative to the lowest polymorph listed for this composition: 49.4 kJ per mole of atoms
Energy of formation: 0.0101 eV per atom
Total DFT energy (no corrections): -6.537 eV/atom
Space group: I-42d, No. 122

a = 3.832 Å, b = 3.832 Å, c = 9.356 Å
α = 78.18°, β = 78.18°, γ = 90.00°
Each line ends with the local moment (μB).
Sites, in units of the cell vectors:
1 Tc 0.000 0.000 0.000  0.50
2 Tc 0.750 0.250 0.500  0.49
3 Pt 0.623 0.125 0.250  0.00
4 Pt 0.127 0.625 0.250  0.00
5 Pt 0.375 0.377 0.750  0.01
6 Pt 0.875 0.873 0.750  0.01
7 Al 0.500 0.500 0.000  -0.01
8 Al 0.250 0.750 0.500  -0.01

Entry 2:
The following is a DFT calculation (PBE) of crystalline AlTcPt4 at its relaxed geometry.

## Properties
Energy of formation: 0.1378 eV per atom
Total DFT energy (no corrections): -6.241 eV/atom
Space group: F-43m, No. 216

a = 5.231 Å, b = 5.231 Å, c = 5.231 Å
α = 60.00°, β = 60.00°, γ = 60.00°
Each line ends with the local moment (μB).
Sites, in units of the cell vectors:
1 Al 0.000 0.000 0.000  -0.05
2 Tc 0.750 0.750 0.750  2.55
3 Pt 0.875 0.375 0.375  0.06
4 Pt 0.375 0.375 0.875  0.06
5 Pt 0.375 0.875 0.375  0.06
6 Pt 0.375 0.375 0.375  0.06

Entry 3:
The following is a DFT calculation (PBE) of crystalline AlTcPt2 at its relaxed geometry.

## Properties
Energy relative to the lowest polymorph listed for this composition: 13.9 kJ per mole of atoms
Energy of formation: -0.3581 eV per atom
Total DFT energy (no corrections): -6.906 eV/atom
Space group: C2/m, No. 12

a = 4.754 Å, b = 4.754 Å, c = 4.806 Å
α = 80.05°, β = 80.05°, γ = 34.13°
Sites, in units of the cell vectors:
1 Tc 0.750 0.750 0.750
2 Pt 0.996 0.996 0.999
3 Pt 0.504 0.504 0.501
4 Al 0.250 0.250 0.250

Entry 4:
The following is a DFT calculation (PBE) of crystalline AlTc2Pt at its relaxed geometry.

## Properties
Energy relative to the lowest polymorph listed for this composition: 32.2 kJ per mole of atoms
Energy of formation: -0.0642 eV per atom
Total DFT energy (no corrections): -7.693 eV/atom
Space group: P4/mmm, No. 123

a = 4.631 Å, b = 4.631 Å, c = 2.776 Å
α = 90.00°, β = 90.00°, γ = 90.00°
Sites, in units of the cell vectors:
1 Tc 0.000 0.000 0.000
2 Tc 0.500 0.500 0.000
3 Pt 0.000 0.500 0.500
4 Al 0.500 0.000 0.500